{
  "formula": "PmSm2Si",
  "functional": "GGA-PBE",
  "state": "relaxed",
  "energy_ry_per_atom": -0.388,
  "de_polymorph_ev_per_atom": 0.000,
  "e_form_raw_ev_per_atom": -0.37,
  "dos_ef_per_ev_atom": 1.262,
  "lattice_angstrom": [[6.404, 0.000, 0.000], [0.000, 7.867, 0.000], [0.000, 0.000, 9.281]],
  "species": ["Pm", "Sm", "Sm", "Pm", "Sm", "Si", "Sm", "Sm", "Si", "Sm", "Si", "Sm", "Si", "Pm", "Pm", "Sm"],
  "frac_coords": [[0.631, 0.531, 0.250], [0.866, 0.315, 0.555], [0.866, 0.315, 0.945], [0.131, 0.969, 0.750], [0.134, 0.685, 0.445], [0.931, 0.620, 0.750], [0.366, 0.185, 0.055], [0.634, 0.815, 0.945], [0.069, 0.380, 0.250], [0.134, 0.685, 0.055], [0.569, 0.120, 0.750], [0.634, 0.815, 0.555], [0.431, 0.880, 0.250], [0.869, 0.031, 0.250], [0.369, 0.469, 0.750], [0.366, 0.185, 0.445]]
}